(1)
Entry from Alexandria: a geometry-optimized NaAc3La2Se6 structure (PBE).

Calculated values
The formation energy without anion corrections comes out at -1.854 eV per atom. The space-group type is C2/m (12).

Unit cell a=7.619 b=7.619 c=7.588 alpha=99.65 beta=99.65 gamma=120.09
Fractional positions:
Se 0.749 0.749 0.237
Se 0.590 0.921 0.761
Se 0.079 0.410 0.239
Se 0.921 0.590 0.761
Se 0.251 0.251 0.763
Se 0.410 0.079 0.239
Ac 0.166 0.834 0.500
Ac 0.500 0.500 0.500
Ac 0.834 0.166 0.500
La 0.334 0.666 0.000
La 0.666 0.334 0.000
Na 0.000 0.000 0.000

***

(2)
Entry from Alexandria: a geometry-optimized NaAc2LaSe4 structure (PBE).

Calculated values
The formation energy without anion corrections comes out at -1.817 eV per atom. The space-group type is P2/m (10).

Unit cell a=4.400 b=7.568 c=7.654 alpha=70.47 beta=90.00 gamma=90.00
Fractional positions:
Na 0.500 0.500 0.000
Se 0.500 0.739 0.252
Se 0.000 0.258 0.248
Se 0.500 0.261 0.748
Se 0.000 0.742 0.752
Ac 0.000 0.000 0.000
Ac 0.500 0.000 0.500
La 0.000 0.500 0.500

***

(3)
Entry from Alexandria: a geometry-optimized NaAcLaSn structure (PBE).

Calculated values
The energy of formation from the pure elements comes out at -0.32 eV/atom. The space-group type is F-43m (216).

Unit cell a=5.719 b=5.719 c=5.719 alpha=60.00 beta=60.00 gamma=60.00
Fractional positions:
La 0.500 0.500 0.500
Ac 0.000 0.000 0.000
Sn 0.250 0.250 0.250
Na 0.750 0.750 0.750

***

(4)
Entry from Alexandria: a geometry-optimized Na3Ac2LaTe6 structure (PBE).

Calculated values
The formation energy without anion corrections comes out at -1.397 eV per atom. The space-group type is C2/m (12).

Unit cell a=4.740 b=9.312 c=10.449 alpha=101.45 beta=103.11 gamma=90.00
Fractional positions:
Na 0.833 0.167 0.667
Na 0.167 0.833 0.333
Na 0.500 0.500 0.000
Te 0.666 0.583 0.333
Te 0.663 0.080 0.327
Te 0.000 0.760 0.001
Te 0.337 0.920 0.673
Te 0.000 0.240 0.999
Te 0.334 0.417 0.667
Ac 0.834 0.669 0.668
Ac 0.166 0.331 0.332
La 0.500 0.000 0.000

***

(5)
Entry from Alexandria: a geometry-optimized Na3AcLa2Te6 structure (PBE).

Calculated values
The formation energy without anion corrections comes out at -1.402 eV per atom. The space-group type is C2/m (12).

Unit cell a=8.135 b=8.135 c=7.986 alpha=99.77 beta=99.77 gamma=120.00
Fractional positions:
Na 0.835 0.165 0.500
Na 0.165 0.835 0.500
Na 0.500 0.500 0.500
Te 0.259 0.259 0.756
Te 0.422 0.081 0.244
Te 0.081 0.422 0.244
Te 0.741 0.741 0.244
Te 0.919 0.578 0.756
Te 0.578 0.919 0.756
Ac 0.000 0.000 0.000
La 0.667 0.333 0.000
La 0.333 0.667 0.000

***

(6)
Entry from Alexandria: a geometry-optimized NaAcLaTe3 structure (PBE).

Calculated values
The formation energy without anion corrections comes out at -1.327 eV per atom. The space-group type is P2_1/m (11).

Unit cell a=4.579 b=9.390 c=10.192 alpha=104.98 beta=90.00 gamma=90.00
Fractional positions:
Ac 0.250 0.196 0.228
Ac 0.750 0.804 0.772
Te 0.750 0.433 0.173
Te 0.750 0.250 0.495
Te 0.250 0.750 0.505
Te 0.250 0.567 0.827
Te 0.250 0.090 0.878
Te 0.750 0.910 0.122
La 0.250 0.667 0.157
La 0.750 0.333 0.843
Na 0.250 0.093 0.586
Na 0.750 0.907 0.414

***

(7)
Entry from Alexandria: a geometry-optimized NaAcLaTl structure (PBE).

Calculated values
The energy of formation from the pure elements comes out at -0.11 eV/atom. The space-group type is F-43m (216).

Unit cell a=5.779 b=5.779 c=5.779 alpha=60.00 beta=60.00 gamma=60.00
Fractional positions:
La 0.750 0.750 0.750
Na 0.500 0.500 0.500
Tl 0.000 0.000 0.000
Ac 0.250 0.250 0.250

***

(8)
Entry from Alexandria: a geometry-optimized NaAc2LaTl4 structure (PBE).

Calculated values
The energy of formation from the pure elements comes out at -0.33 eV/atom. The space-group type is R-3m (166).

Unit cell a=5.666 b=5.666 c=10.094 alpha=73.70 beta=73.70 gamma=60.00
Fractional positions:
Na 0.500 0.500 0.500
Tl 0.875 0.875 0.375
Tl 0.626 0.626 0.123
Tl 0.374 0.374 0.877
Tl 0.125 0.125 0.625
Ac 0.245 0.245 0.266
Ac 0.755 0.755 0.734
La 0.000 0.000 0.000

***

What did the fifth record say?
Entry from Alexandria: a geometry-optimized Na3AcLa2Te6 structure (PBE).

Calculated values
The formation energy without anion corrections comes out at -1.402 eV per atom. The space-group type is C2/m (12).

Unit cell a=8.135 b=8.135 c=7.986 alpha=99.77 beta=99.77 gamma=120.00
Fractional positions:
Na 0.835 0.165 0.500
Na 0.165 0.835 0.500
Na 0.500 0.500 0.500
Te 0.259 0.259 0.756
Te 0.422 0.081 0.244
Te 0.081 0.422 0.244
Te 0.741 0.741 0.244
Te 0.919 0.578 0.756
Te 0.578 0.919 0.756
Ac 0.000 0.000 0.000
La 0.667 0.333 0.000
La 0.333 0.667 0.000

***

Q: Which formula does entry 8 have?
A: NaAc2LaTl4